A relaxed structure of MnSiAs2. Source: Alexandria via LeMat-Bulk, functional PBE.

The structure in POSCAR format:
```
MnSiAs2
1.0
7.776 0.000 0.000
0.000 2.945 0.000
-0.847 0.000 6.332
Mn Si As
2 2 4
direct
0.000 0.000 0.000
0.500 0.500 0.000
0.231 0.500 0.123
0.731 0.000 0.123
0.280 0.000 0.798
0.478 0.000 0.322
0.780 0.500 0.798
0.978 0.500 0.322
```

## Properties
formation energy from raw total energies	0.091	eV/atom
SG	Cm (8)



A relaxed structure of In3HF3. Source: Alexandria via LeMat-Bulk, functional PBE.

The structure in POSCAR format:
```
In3HF3
1.0
3.600 2.078 5.760
-3.600 2.078 5.760
0.000 -4.157 5.760
In H F
6 2 6
direct
0.012 0.778 0.423
0.222 0.577 0.988
0.423 0.012 0.778
0.577 0.988 0.222
0.778 0.423 0.012
0.988 0.222 0.577
0.259 0.259 0.259
0.741 0.741 0.741
0.136 0.833 0.634
0.167 0.366 0.864
0.366 0.864 0.167
0.634 0.136 0.833
0.833 0.634 0.136
0.864 0.167 0.366
```

## Properties
E_tot	-3.776	eV per atom
SG	R-3 (148)



A relaxed structure of SrCa4Eu. Source: Alexandria via LeMat-Bulk, functional PBE.

The structure in POSCAR format:
```
SrCa4Eu
1.0
0.000 5.194 5.194
5.194 0.000 5.194
5.194 5.194 0.000
Sr Ca Eu
1 4 1
direct
0.000 0.000 0.000
0.125 0.625 0.625
0.625 0.125 0.625
0.625 0.625 0.125
0.625 0.625 0.625
0.250 0.250 0.250
```

## Properties
energy of formation from the pure elements	59	meV/atom
SG	F-43m (216)



A relaxed structure of Ba2NaLiTe. Source: Alexandria via LeMat-Bulk, functional PBE.

The structure in POSCAR format:
```
Ba2NaLiTe
1.0
6.847 0.000 0.000
0.000 6.847 0.000
0.000 0.000 5.225
Ba Na Li Te
2 1 1 1
direct
0.000 0.500 0.000
0.500 0.000 0.000
0.000 0.000 0.500
0.500 0.500 0.500
0.500 0.500 0.000
```

## Properties
formation energy from raw total energies	-0.528	eV/atom
SG	P4/mmm (123)



A relaxed structure of NaCa2Nd. Source: Alexandria via LeMat-Bulk, functional PBE.

The structure in POSCAR format:
```
NaCa2Nd
1.0
3.804 0.000 0.000
-1.902 3.295 0.000
0.000 0.000 37.088
Na Ca Nd
3 6 3
direct
0.000 0.000 0.000
0.333 0.667 0.667
0.667 0.333 0.333
0.000 0.000 0.418
0.000 0.000 0.582
0.333 0.667 0.085
0.333 0.667 0.248
0.667 0.333 0.752
0.667 0.333 0.915
0.000 0.000 0.166
0.333 0.667 0.833
0.667 0.333 0.500
```

## Properties
energy of formation from the pure elements	77	meV/atom
SG	R3m (160)



A relaxed structure of Pm2Ho2Tm. Source: Alexandria via LeMat-Bulk, functional PBE.

The structure in POSCAR format:
```
Pm2Ho2Tm
1.0
-1.789 2.847 15.979
1.789 -2.847 15.979
1.789 2.847 -15.979
Pm Ho Tm
4 4 2
direct
0.044 0.294 0.750
0.440 0.190 0.250
0.560 0.810 0.750
0.956 0.706 0.250
0.132 0.882 0.250
0.229 0.979 0.250
0.771 0.021 0.750
0.868 0.118 0.750
0.326 0.576 0.750
0.674 0.424 0.250
```

## Properties
energy of formation from the pure elements	147	meV/atom
SG	Imma (74)